Material: FeTe2Pt
Method: DFT, PBE-GGA
State: optimized geometry

ΔE_f (raw) (eV/atom): 0.62
ρ (Mg/m³): 10.15
E (eV per atom): -4.58
Distance to the lowest polymorph of the same formula (eV/f.u.): 2.81

a b c (Å): 4.8932 4.8932 4.8932
angles (deg): 60.00 60.00 60.00
Closest atoms and distances in Å follow each position.
Fractional positions:
Te 0.7500 0.7500 0.7500  4 Fe 3.00, 4 Te 3.00
Te 0.0000 0.0000 0.0000  4 Te 3.00, 4 Pt 3.00
Fe 0.5000 0.5000 0.5000  4 Te 3.00, 4 Pt 3.00
Pt 0.2500 0.2500 0.2500  4 Te 3.00, 4 Fe 3.00

Material: FeTePt2
Method: DFT, PBE-GGA
State: optimized geometry

ΔE_f (raw) (eV/atom): 0.14
ρ (Mg/m³): 14.15
E (eV per atom): -5.79

a b c (Å): 4.5658 4.5658 4.5658
angles (deg): 60.00 60.00 60.00
Closest atoms and distances in Å follow each position.
Fractional positions:
Pt 0.0000 0.0000 0.0000  4 Pt 2.80, 4 Te 2.80
Te 0.7500 0.7500 0.7500  4 Fe 2.80, 4 Pt 2.80
Pt 0.2500 0.2500 0.2500  4 Fe 2.80, 4 Pt 2.80
Fe 0.5000 0.5000 0.5000  4 Te 2.80, 4 Pt 2.80

Material: FeTePt3
Method: DFT, PBE-GGA
State: optimized geometry

ΔE_f (raw) (eV/atom): 1.10
ρ (Mg/m³): 10.68
E (eV per atom): -4.85
Distance to the lowest polymorph of the same formula (eV/f.u.): 1.74

a b c (Å): 4.9256 4.9256 4.9256
angles (deg): 90.00 90.00 90.00
Closest atoms and distances in Å follow each position.
Fractional positions:
Pt 0.0000 0.0000 0.5000  2 Te 2.46
Fe 0.5000 0.5000 0.5000  12 Pt 3.48
Pt 0.0000 0.5000 0.0000  2 Te 2.46
Te 0.0000 0.0000 0.0000  6 Pt 2.46
Pt 0.5000 0.0000 0.0000  2 Te 2.46

Material: FeTePt2
Method: DFT, PBE-GGA
State: optimized geometry

ΔE_f (raw) (eV/atom): 0.04
ρ (Mg/m³): 12.73
E (eV per atom): -5.88

a b c (Å): 6.1201 6.1201 6.1201
angles (deg): 37.12 37.12 37.12
Closest atoms and distances in Å follow each position.
Fractional positions:
Te 0.2500 0.2500 0.2500  6 Pt 2.82
Pt 0.0161 0.0161 0.0161  3 Fe 2.53, 3 Te 2.82
Fe 0.7500 0.7500 0.7500  6 Pt 2.53
Pt 0.4839 0.4839 0.4839  3 Fe 2.53, 3 Te 2.82

Material: FeTePt3
Method: DFT, PBE-GGA
State: optimized geometry

ΔE_f (raw) (eV/atom): 0.75
ρ (Mg/m³): 12.67
E (eV per atom): -5.20
Distance to the lowest polymorph of the same formula (eV/f.u.): 0.00

a b c (Å): 4.6526 4.6526 4.6526
angles (deg): 90.00 90.00 90.00
Closest atoms and distances in Å follow each position.
Fractional positions:
Pt 0.0000 0.0000 0.5000  2 Fe 2.33
Te 0.5000 0.5000 0.5000  12 Pt 3.29
Fe 0.0000 0.0000 0.0000  6 Pt 2.33
Pt 0.0000 0.5000 0.0000  2 Fe 2.33
Pt 0.5000 0.0000 0.0000  2 Fe 2.33

Material: FeTe4Pt
Method: DFT, PBE-GGA
State: optimized geometry

ΔE_f (raw) (eV/atom): -0.23
ρ (Mg/m³): 8.51
E (eV per atom): -4.74
Distance to the lowest polymorph of the same formula (eV/f.u.): 0.00

a b c (Å): 3.9238 5.5164 6.8642
angles (deg): 90.45 90.00 90.00
Closest atoms and distances in Å follow each position.
Fractional positions:
Te 0.0000 0.2482 0.3185  1 Fe 2.57, 2 Pt 2.70
Pt 0.5000 0.0000 0.5000  6 Te 2.70-2.74
Te 0.0000 0.7518 0.6815  1 Fe 2.57, 2 Pt 2.70
Te 0.5000 0.7558 0.1516  2 Fe 2.60, 1 Pt 2.74
Te 0.5000 0.2442 0.8484  2 Fe 2.60, 1 Pt 2.74
Fe 0.0000 0.0000 0.0000  6 Te 2.57-2.60

Material: FeTePt2
Method: DFT, PBE-GGA
State: optimized geometry

ΔE_f (raw) (eV/atom): 0.09
ρ (Mg/m³): 13.44
E (eV per atom): -5.83

a b c (Å): 4.6052 4.6052 4.7391
angles (deg): 75.22 75.22 47.21
Closest atoms and distances in Å follow each position.
Fractional positions:
Fe 0.2688 0.2688 0.1863  5 Pt 2.56-2.76, 1 Te 2.69
Pt 0.9977 0.9977 0.0443  3 Fe 2.56-2.62, 3 Pt 2.80-2.82, 2 Te 2.84
Te 0.4884 0.4884 0.5041  1 Fe 2.69, 5 Pt 2.78-2.84
Pt 0.7451 0.7451 0.7653  2 Fe 2.76, 3 Te 2.78, 3 Pt 2.80-2.82

Material: FeTe2Pt
Method: DFT, PBE-GGA
State: optimized geometry

ΔE_f (raw) (eV/atom): 0.48
ρ (Mg/m³): 11.17
E (eV per atom): -4.72
Distance to the lowest polymorph of the same formula (eV/f.u.): 2.25

a b c (Å): 4.7391 4.7391 4.7391
angles (deg): 60.00 60.00 60.00
Closest atoms and distances in Å follow each position.
Fractional positions:
Fe 0.0000 0.0000 0.0000  8 Te 2.90
Te 0.7500 0.7500 0.7500  4 Fe 2.90, 4 Pt 2.90
Te 0.2500 0.2500 0.2500  4 Fe 2.90, 4 Pt 2.90
Pt 0.5000 0.5000 0.5000  8 Te 2.90

Material: FeTePt2
Method: DFT, PBE-GGA
State: optimized geometry

ΔE_f (raw) (eV/atom): 0.28
ρ (Mg/m³): 13.73
E (eV per atom): -5.64

a b c (Å): 8.6258 8.6258 8.6258
angles (deg): 20.57 20.57 20.57
Closest atoms and distances in Å follow each position.
Fractional positions:
Fe 0.7465 0.7465 0.7465  3 Pt 2.58, 3 Te 2.75
Pt 0.2514 0.2514 0.2514  9 Pt 2.85-3.08, 3 Te 2.87
Pt 0.0061 0.0061 0.0061  3 Fe 2.58, 3 Pt 2.85
Te 0.4960 0.4960 0.4960  3 Fe 2.75, 3 Pt 2.87, 6 Te 3.08

Material: FeTe2Pt
Method: DFT, PBE-GGA
State: optimized geometry

ΔE_f (raw) (eV/atom): -0.04
ρ (Mg/m³): 9.45
E (eV per atom): -5.23
Distance to the lowest polymorph of the same formula (eV/f.u.): 0.20

a b c (Å): 4.6055 4.5034 4.5021
angles (deg): 72.29 90.00 90.00
Closest atoms and distances in Å follow each position.
Fractional positions:
Te 0.5000 0.3350 0.3348  2 Fe 2.72, 3 Pt 2.76-2.80
Pt 0.5000 0.7152 0.7150  2 Fe 2.65, 5 Te 2.72-2.80
Fe 0.0000 0.5346 0.5348  2 Pt 2.65, 5 Te 2.72-2.79
Te 0.0000 0.9152 0.9154  2 Pt 2.72, 3 Fe 2.77-2.79

Material: FeTe4Pt
Method: DFT, PBE-GGA
State: optimized geometry

ΔE_f (raw) (eV/atom): 1.15
ρ (Mg/m³): 7.76
E (eV per atom): -3.36
Distance to the lowest polymorph of the same formula (eV/f.u.): 8.30

a b c (Å): 6.1316 6.1316 6.1316
angles (deg): 60.00 60.00 60.00
Closest atoms and distances in Å follow each position.
Fractional positions:
Pt 0.0000 0.0000 0.0000  12 Te 3.59, 4 Fe 3.75
Te 0.3741 0.8778 0.3741  6 Te 3.04-3.09
Te 0.3741 0.3741 0.3741  6 Te 3.04-3.09
Fe 0.7500 0.7500 0.7500  12 Te 3.60, 4 Pt 3.75
Te 0.3741 0.3741 0.8778  6 Te 3.04-3.09
Te 0.8778 0.3741 0.3741  6 Te 3.04-3.09

Material: FeTe2Pt
Method: DFT, PBE-GGA
State: optimized geometry

ΔE_f (raw) (eV/atom): 0.19
ρ (Mg/m³): 9.36
E (eV per atom): -5.01
Distance to the lowest polymorph of the same formula (eV/f.u.): 1.09

a b c (Å): 8.3451 8.3451 8.3451
angles (deg): 24.78 24.78 24.78
Closest atoms and distances in Å follow each position.
Fractional positions:
Fe 0.5000 0.5000 0.5000  6 Te 2.55
Te 0.8952 0.8952 0.8952  1 Pt 2.54, 3 Fe 2.55
Pt 0.0000 0.0000 0.0000  2 Te 2.54
Te 0.1048 0.1048 0.1048  1 Pt 2.54, 3 Fe 2.55

Material: FeTePt2
Method: DFT, PBE-GGA
State: optimized geometry

ΔE_f (raw) (eV/atom): 0.55
ρ (Mg/m³): 10.78
E (eV per atom): -5.37

a b c (Å): 5.1399 5.1399 7.6124
angles (deg): 70.27 70.27 90.00
Closest atoms and distances in Å follow each position.
Fractional positions:
Pt 0.8750 0.8222 0.7500  2 Fe 2.34
Fe 0.5000 0.5000 0.0000  4 Pt 2.34
Te 0.7500 0.2500 0.5000  4 Pt 2.62
Pt 0.1778 0.6250 0.2500  2 Fe 2.34
Pt 0.3750 0.4278 0.7500  2 Fe 2.34
Te 0.0000 0.0000 0.0000  4 Pt 2.62
Pt 0.5722 0.1250 0.2500  2 Fe 2.34
Fe 0.2500 0.7500 0.5000  4 Pt 2.34

Material: FeTe2Pt
Method: DFT, PBE-GGA
State: optimized geometry

ΔE_f (raw) (eV/atom): 0.11
ρ (Mg/m³): 8.43
E (eV per atom): -5.08
Distance to the lowest polymorph of the same formula (eV/f.u.): 0.79

a b c (Å): 5.8715 5.8715 7.1188
angles (deg): 65.64 65.64 90.00
Closest atoms and distances in Å follow each position.
Fractional positions:
Te 0.8750 0.8474 0.7500  2 Fe 2.44, 2 Pt 2.63
Fe 0.2500 0.7500 0.5000  4 Te 2.44
Fe 0.5000 0.5000 0.0000  4 Te 2.44
Te 0.1526 0.6250 0.2500  2 Fe 2.44, 2 Pt 2.63
Te 0.3750 0.4026 0.7500  2 Fe 2.44, 2 Pt 2.63
Pt 0.7500 0.2500 0.5000  4 Te 2.63
Te 0.5974 0.1250 0.2500  2 Fe 2.44, 2 Pt 2.63
Pt 0.0000 0.0000 0.0000  4 Te 2.63

Material: FeTePt2
Method: DFT, PBE-GGA
State: optimized geometry

ΔE_f (raw) (eV/atom): 0.11
ρ (Mg/m³): 14.18
E (eV per atom): -5.81

a b c (Å): 5.0084 5.0084 5.0084
angles (deg): 132.64 132.17 69.60
Closest atoms and distances in Å follow each position.
Fractional positions:
Pt 0.4971 0.4971 0.0000  4 Pt 2.86, 4 Fe 2.86-2.91, 4 Te 2.87-2.89
Te 0.7500 0.2500 0.5000  4 Fe 2.86, 8 Pt 2.87-2.89
Pt 0.0029 0.0029 0.0000  4 Pt 2.86, 4 Fe 2.86-2.91, 4 Te 2.87-2.89
Fe 0.2500 0.7500 0.5000  4 Te 2.86, 8 Pt 2.86-2.91

Material: FeTePt2
Method: DFT, PBE-GGA
State: optimized geometry

ΔE_f (raw) (eV/atom): 0.12
ρ (Mg/m³): 14.15
E (eV per atom): -5.80

a b c (Å): 3.7837 4.1962 4.2388
angles (deg): 90.00 90.00 90.00
Closest atoms and distances in Å follow each position.
Fractional positions:
Te 0.5000 0.0000 0.5000  4 Fe 2.83, 8 Pt 2.84-2.98
Pt 0.5000 0.5000 0.0000  4 Pt 2.83, 4 Fe 2.84, 4 Te 2.98
Pt 0.0000 0.0000 0.0000  4 Pt 2.83, 4 Te 2.84, 4 Fe 2.98
Fe 0.0000 0.5000 0.5000  4 Te 2.83, 8 Pt 2.84-2.98

Material: FeTePt2
Method: DFT, PBE-GGA
State: optimized geometry

ΔE_f (raw) (eV/atom): 0.12
ρ (Mg/m³): 14.15
E (eV per atom): -5.80

a b c (Å): 4.8744 4.8744 4.8744
angles (deg): 130.69 128.16 74.35
Closest atoms and distances in Å follow each position.
Fractional positions:
Pt 0.7428 0.2428 0.5000  4 Te 2.77-2.92, 4 Pt 2.83-2.86, 4 Fe 2.95
Pt 0.9968 0.9968 0.0000  4 Fe 2.81-2.89, 4 Pt 2.83-2.86, 4 Te 2.95
Fe 0.2604 0.7604 0.5000  4 Te 2.76-2.94, 8 Pt 2.81-2.95
Te 0.4999 0.4999 0.0000  4 Fe 2.76-2.94, 8 Pt 2.77-2.95

Material: ThFePt
Method: DFT, PBE-GGA
State: optimized geometry

Formation energy from the elements (eV/atom): -0.309
ρ (Mg/m³): 13.31
E (eV per atom): -7.62

a b c (Å): 5.1010 3.6080 9.2576
angles (deg): 90.00 90.00 134.98
Closest atoms and distances in Å follow each position.
Fractional positions:
Fe 0.6943 0.3886 0.0000  8 Pt 2.88, 2 Th 2.89
Pt 0.1944 0.3888 0.8557  1 Pt 2.67, 4 Fe 2.88, 4 Th 2.99
Th 0.6945 0.3889 0.6879  5 Fe 2.89-3.09, 4 Pt 2.99
Fe 0.1946 0.3892 0.5000  8 Th 3.09, 2 Pt 3.29
Th 0.6945 0.3889 0.3121  5 Fe 2.89-3.09, 4 Pt 2.99
Pt 0.1944 0.3888 0.1443  1 Pt 2.67, 4 Fe 2.88, 4 Th 2.99

Material: Th3FePt
Method: DFT, PBE-GGA
State: optimized geometry

Formation energy from the elements (eV/atom): -0.499
ρ (Mg/m³): 12.67
E (eV per atom): -7.85

a b c (Å): 3.8776 8.1182 8.4746
angles (deg): 111.46 90.00 90.00
Closest atoms and distances in Å follow each position.
Fractional positions:
Pt 0.7500 0.7659 0.6555  7 Th 2.95-3.14
Th 0.7500 0.4017 0.6542  2 Fe 2.88, 3 Pt 2.95-3.14
Th 0.2500 0.0528 0.6815  2 Pt 2.98, 1 Fe 3.10
Th 0.2500 0.5983 0.3458  2 Fe 2.88, 3 Pt 2.95-3.14
Th 0.7500 0.2221 0.0535  1 Fe 2.60
Fe 0.2500 0.4474 0.9180  2 Fe 2.36, 1 Th 2.60
Th 0.2500 0.7779 0.9465  1 Fe 2.60
Pt 0.2500 0.2341 0.3445  7 Th 2.95-3.14
Th 0.7500 0.9472 0.3185  2 Pt 2.98, 1 Fe 3.10
Fe 0.7500 0.5526 0.0820  2 Fe 2.36, 1 Th 2.60

Material: Th8FePt2
Method: DFT, PBE-GGA
State: optimized geometry

Formation energy from the elements (eV/atom): -0.441
ρ (Mg/m³): 12.34
E (eV per atom): -7.70

a b c (Å): 3.8002 8.9176 9.3675
angles (deg): 94.37 101.70 90.00
Closest atoms and distances in Å follow each position.
Fractional positions:
Th 0.7847 0.6604 0.5694  2 Pt 2.99
Th 0.2153 0.3396 0.4306  2 Pt 2.99
Th 0.5907 0.5209 0.1814  2 Pt 3.00, 1 Th 3.32
Th 0.4093 0.4791 0.8186  2 Pt 3.00, 1 Th 3.32
Th 0.6587 0.9947 0.3173  1 Fe 2.92, 2 Pt 2.97
Th 0.9885 0.7973 0.9769  2 Fe 2.62
Th 0.3413 0.0053 0.6827  1 Fe 2.92, 2 Pt 2.97
Th 0.0115 0.2027 0.0231  2 Fe 2.62
Fe 0.5000 0.0000 0.0000  6 Th 2.62-2.92
Pt 0.1680 0.7403 0.3359  6 Th 2.97-3.00
Pt 0.8320 0.2597 0.6641  6 Th 2.97-3.00